BeCr2Cl: relaxed, PBE.

* excess energy over the best structure of this formula in the dataset: 0.495 eV/atom
* formation energy from raw total energies: 0.777 eV/atom

abc: 2.826 4.807 3.987
angles: 90.00 90.00 90.00
Site moments in Bohr magnetons follow the coordinates.
Element x y z (fractional)
Cr  0.000  0.000  0.000  2.16
Cr  0.500  0.500  0.000  2.44
Be  0.500  0.000  0.500  -0.06
Cl  0.000  0.500  0.500  0.05